Computed, not measured: crystalline HgMo2Pd2 at its relaxed geometry at the GGA-PBE level of DFT.

It has space group P4/mbm (No. 127), with a = 7.9182 Å, b = 7.9182 Å, c = 2.7837 Å, α = 90.00°, β = 90.00° and γ = 90.00°. The inequivalent atoms are Hg at (0.0000, 0.0000, 0.0000), Mo at (0.1133, 0.3867, 0.0000) and Pd at (0.1754, 0.6754, 0.5000).

The calculation puts the total energy at -6.16 eV per atom. Its energy of formation is 0.307 eV per atom. For the polymorph energy (0 for the lowest one), the calculation gives 0 meV/atom.

Computed, not measured: crystalline HgMoPd2 at its relaxed geometry at the GGA-PBE level of DFT.

It has space group P4/mmm (No. 123), with a = 2.8423 Å, b = 2.8423 Å, c = 8.2552 Å, α = 90.00°, β = 90.00° and γ = 90.00°. The inequivalent atoms are Hg at (0.0000, 0.0000, 0.0000), Mo at (0.0000, 0.0000, 0.5000) and Pd at (0.5000, 0.5000, 0.2684).

The calculation puts the total energy at -5.44 eV per atom. Its energy of formation is -0.055 eV per atom.

Computed, not measured: crystalline HgMoPd4 at its relaxed geometry at the GGA-PBE level of DFT.

It has space group P4/mmm (No. 123), with a = 2.8650 Å, b = 2.8650 Å, c = 11.8421 Å, α = 90.00°, β = 90.00° and γ = 90.00°. The inequivalent atoms are Hg at (0.0000, 0.0000, 0.0000), Mo at (0.5000, 0.5000, 0.5000), Pd at (0.0000, 0.0000, 0.3429) and Pd at (0.5000, 0.5000, 0.1752).

The calculation puts the total energy at -5.38 eV per atom. Its energy of formation is -0.064 eV per atom.

Computed, not measured: crystalline Hg3MoPt at its relaxed geometry at the GGA-PBE level of DFT.

It has space group Pm-3m (No. 221), with a = 5.2446 Å, b = 5.2446 Å, c = 5.2446 Å, α = 90.00°, β = 90.00° and γ = 90.00°. The inequivalent atoms are Hg at (0.0000, 0.0000, 0.5000), Mo at (0.5000, 0.5000, 0.5000) and Pt at (0.0000, 0.0000, 0.0000).

The calculation puts the total energy at -2.61 eV per atom. Its energy of formation is 0.945 eV per atom. For the polymorph energy (0 for the lowest one), the calculation gives 0 meV/atom.

Computed, not measured: crystalline HgMoPt at its relaxed geometry at the GGA-PBE level of DFT.

It has space group P-6m2 (No. 187), with a = 4.6532 Å, b = 4.6532 Å, c = 2.7542 Å, α = 90.00°, β = 90.00° and γ = 120.00°. The inequivalent atoms are Hg at (0.0000, 0.0000, 0.0000), Mo at (0.6667, 0.3333, 0.5000) and Pt at (0.3333, 0.6667, 0.0000).

The calculation puts the total energy at -5.41 eV per atom. Its energy of formation is 0.319 eV per atom. For the polymorph energy (0 for the lowest one), the calculation gives 215 meV/atom.

Computed, not measured: crystalline HgMoPt2 at its relaxed geometry at the GGA-PBE level of DFT.

It has space group P4/mmm (No. 123), with a = 2.8423 Å, b = 2.8423 Å, c = 8.3631 Å, α = 90.00°, β = 90.00° and γ = 90.00°. The inequivalent atoms are Hg at (0.0000, 0.0000, 0.0000), Mo at (0.0000, 0.0000, 0.5000) and Pt at (0.5000, 0.5000, 0.2750).

The calculation puts the total energy at -5.99 eV per atom. Its energy of formation is -0.189 eV per atom. For the polymorph energy (0 for the lowest one), the calculation gives 0 meV/atom.

Computed, not measured: crystalline HgMoPt at its relaxed geometry at the GGA-PBE level of DFT.

It has space group F-43m (No. 216), with a = 6.2600 Å, b = 6.2600 Å, c = 6.2600 Å, α = 90.00°, β = 90.00° and γ = 90.00°. The inequivalent atoms are Hg at (0.0000, 0.0000, 0.0000), Mo at (0.2500, 0.2500, 0.2500) and Pt at (0.0000, 0.0000, 0.5000).

The calculation puts the total energy at -5.12 eV per atom. Its energy of formation is 0.603 eV per atom. For the polymorph energy (0 for the lowest one), the calculation gives 500 meV/atom.

Computed, not measured: crystalline HgMoPt3 at its relaxed geometry at the GGA-PBE level of DFT.

It has space group Pm-3m (No. 221), with a = 4.8582 Å, b = 4.8582 Å, c = 4.8582 Å, α = 90.00°, β = 90.00° and γ = 90.00°. The inequivalent atoms are Hg at (0.0000, 0.0000, 0.0000), Mo at (0.5000, 0.5000, 0.5000) and Pt at (0.0000, 0.5000, 0.5000).

The calculation puts the total energy at -4.79 eV per atom. Its energy of formation is 1.061 eV per atom. For the polymorph energy (0 for the lowest one), the calculation gives 0 meV/atom.

Computed, not measured: crystalline HgMoPt4 at its relaxed geometry at the GGA-PBE level of DFT.

It has space group F-43m (No. 216), with a = 7.4934 Å, b = 7.4934 Å, c = 7.4934 Å, α = 90.00°, β = 90.00° and γ = 90.00°. The inequivalent atoms are Hg at (0.0000, 0.0000, 0.0000), Mo at (0.2500, 0.2500, 0.7500) and Pt at (0.1247, 0.1247, 0.3753).

The calculation puts the total energy at -5.67 eV per atom. Its energy of formation is 0.215 eV per atom.

Computed, not measured: crystalline HgMoPt2 at its relaxed geometry at the GGA-PBE level of DFT.

It has space group I4/mmm (No. 139), with a = 4.0641 Å, b = 4.0641 Å, c = 8.0914 Å, α = 90.00°, β = 90.00° and γ = 90.00°. The inequivalent atoms are Hg at (0.0000, 0.0000, 0.0000), Mo at (0.0000, 0.0000, 0.5000) and Pt at (0.0000, 0.5000, 0.2500).

The calculation puts the total energy at -5.68 eV per atom. Its energy of formation is 0.126 eV per atom. For the polymorph energy (0 for the lowest one), the calculation gives 315 meV/atom.

Computed, not measured: crystalline Hg3MoPt at its relaxed geometry at the GGA-PBE level of DFT.

It has space group Pm-3m (No. 221), with a = 5.2944 Å, b = 5.2944 Å, c = 5.2944 Å, α = 90.00°, β = 90.00° and γ = 90.00°. The inequivalent atoms are Hg at (0.0000, 0.0000, 0.5000), Mo at (0.0000, 0.0000, 0.0000) and Pt at (0.5000, 0.5000, 0.5000).

The calculation puts the total energy at -2.13 eV per atom. Its energy of formation is 1.428 eV per atom. For the polymorph energy (0 for the lowest one), the calculation gives 483 meV/atom.

Computed, not measured: crystalline HgMoPt2 at its relaxed geometry at the GGA-PBE level of DFT.

It has space group R3m (No. 160, hexagonal axes), with a = 2.8692 Å, b = 2.8692 Å, c = 28.4082 Å, α = 90.00°, β = 90.00° and γ = 120.00°. The inequivalent atoms are Hg at (0.0000, 0.0000, 0.0000), Mo at (0.0000, 0.0000, 0.7555), Pt at (0.0000, 0.0000, 0.2463) and Pt at (0.0000, 0.0000, 0.4969).

The calculation puts the total energy at -5.71 eV per atom. Its energy of formation is 0.090 eV per atom. For the polymorph energy (0 for the lowest one), the calculation gives 279 meV/atom.

How do the records compare in ρ? In the order shown, they have 11.52, 12.68, 12.34, 10.28, 15.81, 16.88, 13.31, 12.77, 17.00, 17.06, 9.99, 16.89 g/cm3.